Record 1
First-principles (GGA-PBE) data for a relaxed Nd4OsSe2Br crystal, as listed in the Alexandria database.

Values from the calculation:
D(E_F) ... 7.09 states/eV per cell
Space group ... P2/m

a = 7.4454 Å, b = 4.1406 Å, c = 7.5303 Å
α = 90.00°, β = 107.25°, γ = 90.00°
With the nearest neighbours (Å) after each atom.
Fractional positions:
1 Nd 0.2328 0.0000 0.2224  2 Os 2.89, 3 Se 2.96-3.19, 1 Br 3.09
2 Nd 0.2477 0.5000 0.7815  1 Os 2.81, 2 Se 2.95, 2 Br 3.14
3 Nd 0.7523 0.5000 0.2185  1 Os 2.81, 2 Se 2.95, 2 Br 3.14
4 Nd 0.7672 0.0000 0.7776  2 Os 2.89, 3 Se 2.96-3.19, 1 Br 3.09
5 Os 0.0000 0.5000 0.0000  6 Nd 2.81-2.89
6 Se 0.5000 0.0000 0.0000  6 Nd 2.95-2.96
7 Se 0.5000 0.5000 0.5000  6 Nd 3.19-3.22
8 Br 0.0000 0.0000 0.5000  6 Nd 3.09-3.14



Record 2
First-principles (GGA-PBE) data for a relaxed Nd8Si3OsBr4 crystal, as listed in the Alexandria database.

Values from the calculation:
D(E_F) ... 11.18 states/eV per cell
Space group ... R-3m

a = 8.9116 Å, b = 8.9116 Å, c = 8.9116 Å
α = 57.21°, β = 57.21°, γ = 57.21°
With the nearest neighbours (Å) after each atom.
Fractional positions:
1 Nd 0.2373 0.2373 0.2373  3 Si 2.92, 3 Br 3.26
2 Nd 0.2465 0.7286 0.7286  1 Os 2.82, 2 Si 2.93
3 Nd 0.2714 0.2714 0.7535  1 Os 2.82, 2 Si 2.93
4 Nd 0.2714 0.7535 0.2714  1 Os 2.82, 2 Si 2.93
5 Nd 0.7286 0.2465 0.7286  1 Os 2.82, 2 Si 2.93
6 Nd 0.7286 0.7286 0.2465  1 Os 2.82, 2 Si 2.93
7 Nd 0.7535 0.2714 0.2714  1 Os 2.82, 2 Si 2.93
8 Nd 0.7627 0.7627 0.7627  3 Si 2.92, 3 Br 3.26
9 Si 0.0000 0.0000 0.5000  6 Nd 2.92-2.93
10 Si 0.0000 0.5000 0.0000  6 Nd 2.92-2.93
11 Si 0.5000 0.0000 0.0000  6 Nd 2.92-2.93
12 Os 0.5000 0.5000 0.5000  6 Nd 2.82
13 Br 0.0000 0.0000 0.0000  6 Nd 3.37
14 Br 0.0000 0.5000 0.5000  6 Nd 3.26-3.27
15 Br 0.5000 0.0000 0.5000  6 Nd 3.26-3.27
16 Br 0.5000 0.5000 0.0000  6 Nd 3.26-3.27



Number 1: formation energy (no corrections) -1.176 eV per atom. Number 2: formation energy (no corrections) -0.960 eV per atom.